Na3In2FeO6: relaxed, PBE with a Hubbard U.

Lattice parameters (Å, degrees): 5.5681 5.5681 5.8063 99.19 99.19 120.03
Closest atoms and distances in Å follow each position.
Fractional positions:
Na 0.1642 0.8358 0.5000  6 O 2.41-2.53
Na 0.8358 0.1642 0.5000  6 O 2.41-2.53
Na 0.5000 0.5000 0.5000  6 O 2.42-2.53
In 0.3331 0.6669 0.0000  6 O 2.22-2.23
In 0.6669 0.3331 0.0000  6 O 2.22-2.23
Fe 0.0000 0.0000 0.0000  6 O 2.10-2.11
O 0.9303 0.6134 0.7902  1 Fe 2.11, 2 In 2.22-2.23
O 0.7528 0.7528 0.2073  1 Fe 2.10, 2 In 2.22
O 0.0697 0.3866 0.2098  1 Fe 2.11, 2 In 2.22-2.23
O 0.6134 0.9303 0.7902  1 Fe 2.11, 2 In 2.22-2.23
O 0.2472 0.2472 0.7927  1 Fe 2.10, 2 In 2.22
O 0.3866 0.0697 0.2098  1 Fe 2.11, 2 In 2.22-2.23

Values from the calculation:
VASP energy in eV per atom: -5.34
SG: C2/m (12)
Crystal system: monoclinic
Volume in Å³ per cell: 147.7